TmB4Ir5: relaxed, PBE.

Values from the calculation:
* formation energy: -270 meV per atom

a = 5.384 Å, b = 6.871 Å, c = 6.871 Å
α = 90.00°, β = 90.00°, γ = 90.00°
Fractional positions:
1 Ir 0.733 0.711 0.211
2 Ir 0.267 0.211 0.711
3 Ir 0.733 0.711 0.789
4 Ir 0.896 0.000 0.500
5 Ir 0.267 0.789 0.711
6 Ir 0.267 0.789 0.289
7 B 0.587 0.000 0.286
8 B 0.413 0.500 0.214
9 B 0.413 0.286 0.000
10 B 0.413 0.714 0.000
11 B 0.587 0.214 0.500
12 Tm 0.000 0.500 0.500
13 B 0.413 0.500 0.786
14 Ir 0.733 0.289 0.789
15 Ir 0.733 0.289 0.211
16 Ir 0.104 0.500 0.000
17 B 0.587 0.786 0.500
18 Tm 0.000 0.000 0.000
19 Ir 0.267 0.211 0.289
20 B 0.587 0.000 0.714

---

Nd7Y6: relaxed, PBE.

Values from the calculation:
* formation energy: 219 meV per atom

a = 6.659 Å, b = 6.659 Å, c = 12.304 Å
α = 74.30°, β = 74.30°, γ = 60.00°
Fractional positions:
1 Nd 0.077 0.594 0.735
2 Y 0.147 0.147 0.558
3 Nd 0.923 0.406 0.265
4 Y 0.046 0.046 0.863
5 Y 0.335 0.335 0.996
6 Nd 0.594 0.594 0.735
7 Nd 0.406 0.923 0.265
8 Y 0.954 0.954 0.137
9 Y 0.853 0.853 0.442
10 Nd 0.406 0.406 0.265
11 Nd 0.500 0.500 0.500
12 Y 0.665 0.665 0.004
13 Nd 0.594 0.077 0.735

---

MnNbRh2I: relaxed, PBE.

Values from the calculation:
* formation energy without anion corrections: 6.58 eV/f.u.

a = 4.797 Å, b = 5.041 Å, c = 4.797 Å
α = 90.00°, β = 90.00°, γ = 90.00°
Each line ends with the local moment (μB).
Fractional positions:
1 Rh 0.500 0.000 0.000  -0.12
2 Rh 0.000 0.000 0.500  -0.20
3 Nb 0.000 0.500 0.000  -0.88
4 Mn 0.500 0.500 0.500  4.29
5 I 0.000 0.000 0.000  0.03

---

BaCdIn2Ag4: relaxed, PBE.

Values from the calculation:
* formation energy: -126 meV per atom

a = 4.801 Å, b = 4.801 Å, c = 10.296 Å
α = 76.52°, β = 76.52°, γ = 60.00°
Fractional positions:
1 Ag 0.406 0.406 0.783
2 In 0.242 0.242 0.273
3 Cd 0.500 0.500 0.500
4 Ag 0.864 0.864 0.409
5 Ag 0.594 0.594 0.217
6 Ag 0.136 0.136 0.591
7 In 0.758 0.758 0.727
8 Ba 0.000 0.000 0.000

---

NaTmCuSe2: relaxed, PBE.

Values from the calculation:
* formation energy without anion corrections: -4.67 eV/f.u.

a = 4.509 Å, b = 7.098 Å, c = 7.824 Å
α = 98.86°, β = 90.00°, γ = 90.00°
Fractional positions:
1 Se 0.327 0.264 0.034
2 Cu 0.000 0.000 0.000
3 Na 0.854 0.500 0.250
4 Tm 0.507 0.000 0.750
5 Na 0.146 0.500 0.750
6 Se 0.673 0.264 0.534
7 Se 0.673 0.736 0.966
8 Tm 0.493 0.000 0.250
9 Cu 0.000 0.000 0.500
10 Se 0.327 0.736 0.466

---

BaRe2Si: relaxed, PBE.

Values from the calculation:
* formation energy without anion corrections: 5.39 eV/f.u.

a = 5.427 Å, b = 5.564 Å, c = 2.974 Å
α = 74.55°, β = 89.89°, γ = 119.15°
Fractional positions:
1 Si 0.000 0.500 0.500
2 Re 0.500 0.000 0.500
3 Ba 0.500 0.500 0.000
4 Re 0.000 0.000 0.000

---

La2ThI2N2: relaxed, PBE.

Values from the calculation:
* formation energy without anion corrections: -8.52 eV/f.u.

a = 4.663 Å, b = 4.663 Å, c = 10.071 Å
α = 103.38°, β = 103.38°, γ = 90.00°
Each line ends with the local moment (μB).
Fractional positions:
1 I 0.827 0.827 0.654  0.01
2 Th 0.000 0.000 0.000  0.14
3 N 0.000 0.500 0.000  -0.03
4 I 0.173 0.173 0.346  0.01
5 N 0.500 0.000 0.000  -0.03
6 La 0.582 0.582 0.164  0.36
7 La 0.418 0.418 0.836  0.36

---

PuZn3Pt: relaxed, PBE.

Values from the calculation:
* offset from the most stable computed form: 0 meV/atom
* formation energy: -396 meV per atom

a = 6.096 Å, b = 5.485 Å, c = 5.444 Å
α = 90.00°, β = 88.23°, γ = 90.00°
Each line ends with the local moment (μB).
Fractional positions:
1 Zn 0.173 0.992 0.152  0.01
2 Pt 0.541 0.250 0.149  -0.07
3 Pt 0.459 0.750 0.851  -0.07
4 Zn 0.114 0.750 0.579  0.01
5 Pu 0.346 0.250 0.650  5.21
6 Zn 0.827 0.008 0.848  0.01
7 Pu 0.654 0.750 0.350  5.21
8 Zn 0.886 0.250 0.421  0.01
9 Zn 0.827 0.492 0.848  0.01
10 Zn 0.173 0.508 0.152  0.01

---

RbY3I: relaxed, PBE.

Values from the calculation:
* offset from the most stable computed form: 885 meV/atom
* formation energy without anion corrections: 6.37 eV/f.u.

a = 5.732 Å, b = 5.732 Å, c = 5.732 Å
α = 90.00°, β = 90.00°, γ = 90.00°
Fractional positions:
1 Rb 0.000 0.000 0.000
2 Y 0.500 0.000 0.000
3 I 0.500 0.500 0.500
4 Y 0.000 0.500 0.000
5 Y 0.000 0.000 0.500

---

Be2NiPPb: relaxed, PBE.

Values from the calculation:
* formation energy: 653 meV per atom

a = 3.927 Å, b = 3.927 Å, c = 6.052 Å
α = 90.00°, β = 90.00°, γ = 90.00°
Fractional positions:
1 P 0.000 0.000 0.000
2 Be 0.000 0.500 0.000
3 Pb 0.000 0.000 0.500
4 Be 0.500 0.000 0.000
5 Ni 0.500 0.500 0.500